A plane-wave DFT calculation with PBE+U was carried out for PmCr2AsO6 after structural relaxation.

Cell: 5.617 5.493 5.532 Å, 60.62 60.66 59.37°
Site moments in Bohr magnetons follow the coordinates.
Positions (direct):
O  0.219  0.303  0.674  -0.01
O  0.333  0.674  0.793  -0.02
O  0.691  0.340  0.130  -0.02
Cr  0.035  0.000  0.961  2.93
O  0.200  0.849  0.265  -0.01
Cr  0.496  0.526  0.449  2.95
As  0.422  0.261  0.086  0.02
O  0.740  0.787  0.252  -0.01
O  0.729  0.179  0.739  -0.03
Pm  0.797  0.743  0.666  0.01

Computed properties:
M_tot, μB per formula unit: 6.00
E, eV/cell: -74.7
Density, g/cm3: 5.8